1.
Compound: LaPm2Cd2Sn2
Source: Alexandria
Functional: GGA-PBE
Structure: relaxed

Geometry as POSCAR:
```
LaPm2Cd2Sn2
1.0
-2.499 -2.762 -3.374
-3.564 -3.202 1.518
-8.331 4.668 -1.395
Pm Cd Sn La
2 2 2 1
direct
0.133 0.133 0.602
0.867 0.867 0.398
0.422 0.422 0.734
0.578 0.578 0.266
0.734 0.734 0.798
0.266 0.266 0.202
0.000 0.000 0.000
```

M_tot (μB per formula unit): 0.00
E_tot (eV per cell): -26.9
Volume (Å³ per atom): 28.761
Formation enthalpy at 0 K (eV per formula unit): -2.595

2.
Compound: RbMgW2
Source: Alexandria
Functional: GGA-PBE
Structure: relaxed

Geometry as POSCAR:
```
RbMgW2
1.0
0.000 3.430 3.430
3.430 0.000 3.430
3.430 3.430 0.000
W Mg Rb
2 1 1
direct
0.750 0.750 0.750
0.250 0.250 0.250
0.000 0.000 0.000
0.500 0.500 0.500
```

M_tot (μB per formula unit): 0.00
E_tot (eV per cell): -18.7
Offset from the most stable computed form (eV/atom): 0.491
Volume (Å³ per atom): 20.178
Formation enthalpy at 0 K (eV per formula unit): 9.790

3.
Compound: Nd3Y2Er6
Source: Alexandria
Functional: GGA-PBE
Structure: relaxed

Geometry as POSCAR:
```
Nd3Y2Er6
1.0
-2.968 -1.667 -5.133
-4.963 -3.643 0.358
-7.693 8.643 -0.849
Er Nd Y
6 3 2
direct
0.418 0.667 0.747
0.915 0.667 0.253
0.582 0.333 0.253
0.085 0.333 0.747
0.751 0.000 0.747
0.249 0.000 0.253
0.665 0.671 0.000
0.000 0.000 0.000
0.335 0.329 0.000
0.166 0.668 0.500
0.834 0.332 0.500
```

M_tot (μB per formula unit): 1.60
E_tot (eV per cell): -52.4
Offset from the most stable computed form (eV/atom): 0.000
Volume (Å³ per atom): 34.150
Formation enthalpy at 0 K (eV per formula unit): 2.255

4.
Compound: AcHgS3
Source: Alexandria
Functional: GGA-PBE
Structure: relaxed

Geometry as POSCAR:
```
AcHgS3
1.0
-3.506 -2.481 -1.635
4.404 -3.501 -4.132
3.013 -4.789 7.269
S Hg Ac
6 2 2
direct
0.511 0.250 0.023
0.489 0.750 0.977
0.166 0.509 0.333
0.834 0.491 0.667
0.834 0.009 0.667
0.166 0.991 0.333
0.053 0.750 0.106
0.947 0.250 0.894
0.308 0.750 0.617
0.692 0.250 0.383
```

M_tot (μB per formula unit): 0.11
E_tot (eV per cell): -42.7
Uncorrected formation energy (eV per formula unit): -4.54
Volume (Å³ per atom): 28.615

5.
Compound: LiNdTm2Te4
Source: Alexandria
Functional: GGA-PBE
Structure: relaxed

Geometry as POSCAR:
```
LiNdTm2Te4
1.0
-0.342 3.864 1.909
-7.514 -0.861 0.396
3.144 -2.823 6.277
Li Te Tm Nd
1 4 2 1
direct
0.500 0.500 0.000
0.500 0.263 0.258
0.000 0.743 0.253
0.000 0.257 0.747
0.500 0.737 0.742
0.000 0.500 0.500
0.500 0.000 0.500
0.000 0.000 0.000
```

M_tot (μB per formula unit): 0.00
E_tot (eV per cell): -38.5
Uncorrected formation energy (eV per formula unit): -10.31
Volume (Å³ per atom): 29.272

6.
Compound: Ba2TbH
Source: Alexandria
Functional: GGA-PBE
Structure: relaxed

Geometry as POSCAR:
```
Ba2TbH
1.0
-3.517 -0.233 -1.543
-3.027 -0.822 2.227
-3.660 9.995 2.037
Tb Ba H
1 2 1
direct
0.000 0.000 0.000
0.113 0.113 0.660
0.887 0.887 0.340
0.500 0.500 0.500
```

M_tot (μB per formula unit): 0.88
E_tot (eV per cell): -11.1
Volume (Å³ per atom): 33.992

Which of these has the highest volume? Nd3Y2Er6

What did the second record say?
Compound: RbMgW2
Source: Alexandria
Functional: GGA-PBE
Structure: relaxed

Geometry as POSCAR:
```
RbMgW2
1.0
0.000 3.430 3.430
3.430 0.000 3.430
3.430 3.430 0.000
W Mg Rb
2 1 1
direct
0.750 0.750 0.750
0.250 0.250 0.250
0.000 0.000 0.000
0.500 0.500 0.500
```

M_tot (μB per formula unit): 0.00
E_tot (eV per cell): -18.7
Offset from the most stable computed form (eV/atom): 0.491
Volume (Å³ per atom): 20.178
Formation enthalpy at 0 K (eV per formula unit): 9.790